*1*
Compound: BaDyPO
Source: OQMD via LeMat-Bulk
Functional: PBE
Structure: relaxed

```
BaDyPO
1.0
5.524 0.000 0.000
0.000 5.524 0.000
0.000 0.000 6.141
P Ba O Dy
2 2 2 2
direct
0.500 0.000 0.499
0.000 0.500 0.501
0.500 0.000 0.999
0.000 0.500 0.001
0.500 0.500 0.000
0.000 0.000 0.000
0.500 0.500 0.500
0.000 0.000 0.500
```

As for the space group: No. 129. The theoretical density is 6.1 g/cm³.

***

*2*
Compound: BaDyPO
Source: OQMD via LeMat-Bulk
Functional: PBE
Structure: relaxed

```
BaDyPO
1.0
4.029 0.000 0.000
0.000 6.931 0.000
0.000 0.000 7.432
Ba Dy P O
2 2 2 2
direct
0.000 0.941 0.096
0.000 0.059 0.596
0.500 0.612 0.458
0.500 0.388 0.958
0.500 0.252 0.312
0.500 0.748 0.812
0.000 0.726 0.388
0.000 0.274 0.888
```

As for the space group: No. 26. The theoretical density is 5.5 g/cm³.

***

*3*
Compound: BaDyPO
Source: OQMD via LeMat-Bulk
Functional: PBE
Structure: relaxed

```
BaDyPO
1.0
4.968 0.000 0.000
0.000 4.968 0.000
0.000 0.000 9.196
Ba O P Dy
2 2 2 2
direct
0.250 0.250 0.096
0.750 0.750 0.904
0.250 0.750 0.000
0.750 0.250 0.000
0.250 0.250 0.620
0.750 0.750 0.380
0.750 0.250 0.500
0.250 0.750 0.500
```

As for the space group: No. 129. The theoretical density is 5.1 g/cm³.

***

The structure with the greatest stability is *2*.

***

*1*
Compound: BaDyPO
Source: OQMD via LeMat-Bulk
Functional: PBE
Structure: relaxed

```
BaDyPO
1.0
4.761 0.000 0.000
0.000 4.761 0.000
0.000 0.000 9.969
P Dy Ba O
2 2 2 2
direct
0.750 0.750 0.312
0.250 0.250 0.688
0.750 0.750 0.051
0.250 0.250 0.949
0.750 0.250 0.500
0.250 0.750 0.500
0.250 0.750 0.000
0.750 0.250 0.000
```

As for the space group: No. 129. The theoretical density is 5.1 g/cm³.

***

*2*
Compound: BaDyPO
Source: OQMD via LeMat-Bulk
Functional: PBE
Structure: relaxed

```
BaDyPO
1.0
-1.854 -0.040 4.219
1.460 -7.413 0.572
5.898 1.363 2.605
Ba O P Dy
2 2 2 2
direct
0.000 0.700 0.444
0.000 0.300 0.944
0.500 0.874 0.356
0.500 0.126 0.856
0.000 0.719 0.929
0.000 0.281 0.429
0.500 0.119 0.525
0.500 0.881 0.025
```

As for the space group: No. 26. The theoretical density is 5.0 g/cm³.

***

The structure with the greatest stability is *2*.

***

*1*
Compound: BaDyPt
Source: OQMD via LeMat-Bulk
Functional: PBE
Structure: relaxed

```
BaDyPt
1.0
0.372 -4.979 -0.198
-4.060 -2.836 0.660
-1.956 -2.500 -3.859
Pt Ba Dy
1 1 1
direct
0.750 0.750 0.750
0.000 0.000 0.000
0.250 0.250 0.250
```

As for the space group: No. 216. The theoretical density is 9.3 g/cm³.

***

*2*
Compound: BaDyPt
Source: OQMD via LeMat-Bulk
Functional: PBE
Structure: relaxed

```
BaDyPt
1.0
-1.905 -4.418 -1.821
-5.058 -0.482 -0.807
-1.828 -0.227 -4.803
Dy Pt Ba
1 1 1
direct
0.750 0.750 0.750
0.000 0.000 0.000
0.250 0.250 0.250
```

As for the space group: No. 216. The theoretical density is 8.5 g/cm³.

***

The structure with the greatest stability is *2*.

***

*1*
Compound: BaDyTc
Source: OQMD via LeMat-Bulk
Functional: PBE
Structure: relaxed

```
BaDyTc
1.0
0.000 3.546 3.546
3.546 0.000 3.546
3.546 3.546 0.000
Ba Dy Tc
1 1 1
direct
0.000 0.000 0.000
0.750 0.750 0.750
0.500 0.500 0.500
```

As for the space group: No. 216. The theoretical density is 7.4 g/cm³.

***

*2*
Compound: BaDyTc
Source: OQMD via LeMat-Bulk
Functional: PBE
Structure: relaxed

```
BaDyTc
1.0
-2.971 -3.511 -1.824
-3.521 1.190 -3.266
0.434 -1.399 -4.726
Tc Dy Ba
1 1 1
direct
0.750 0.750 0.750
0.250 0.250 0.250
0.000 0.000 0.000
```

As for the space group: No. 216. The theoretical density is 7.7 g/cm³.

***

The structure with the greatest stability is *1*.

***

*1*
Compound: BaDyTl
Source: OQMD via LeMat-Bulk
Functional: PBE
Structure: relaxed

```
BaDyTl
1.0
0.000 3.940 3.940
3.940 0.000 3.940
3.940 3.940 0.000
Ba Dy Tl
1 1 1
direct
0.250 0.250 0.250
0.750 0.750 0.750
0.000 0.000 0.000
```

As for the space group: No. 216. The theoretical density is 6.8 g/cm³.

***

*2*
Compound: BaDyTl
Source: OQMD via LeMat-Bulk
Functional: PBE
Structure: relaxed

```
BaDyTl
1.0
0.000 3.881 3.881
3.881 0.000 3.881
3.881 3.881 0.000
Dy Ba Tl
1 1 1
direct
0.250 0.250 0.250
0.000 0.000 0.000
0.750 0.750 0.750
```

As for the space group: No. 216. The theoretical density is 7.2 g/cm³.

***

The structure with the greatest stability is *1*.

***

*1*
Compound: Ba2Er
Source: OQMD via LeMat-Bulk
Functional: PBE
Structure: relaxed

```
Ba2Er
1.0
-0.935 3.050 10.735
0.152 10.849 2.772
-9.354 4.989 3.609
Ba Er
4 2
direct
0.875 0.875 0.875
0.875 0.875 0.375
0.875 0.375 0.875
0.375 0.875 0.875
0.750 0.750 0.750
0.000 0.000 0.000
```

As for the space group: No. 227. The theoretical density is 1.5 g/cm³.

***

*2*
Compound: Ba2Er
Source: OQMD via LeMat-Bulk
Functional: PBE
Structure: relaxed

```
Ba2Er
1.0
1.836 8.021 0.149
-4.150 6.982 1.330
1.788 -7.702 2.283
Er Ba
1 2
direct
0.000 0.000 0.000
0.350 0.350 0.000
0.650 0.650 0.000
```

As for the space group: No. 139. The theoretical density is 5.0 g/cm³.

***

The structure with the greatest stability is *2*.

***

*1*
Compound: BaEr
Source: OQMD via LeMat-Bulk
Functional: PBE
Structure: relaxed

```
BaEr
1.0
3.824 0.000 0.000
-1.912 3.312 0.000
0.000 0.000 6.426
Er Ba
1 1
direct
0.333 0.667 0.250
0.667 0.333 0.750
```

As for the space group: No. 187. The theoretical density is 6.2 g/cm³.

***

*2*
Compound: BaEr
Source: OQMD via LeMat-Bulk
Functional: PBE
Structure: relaxed

```
BaEr
1.0
0.000 3.560 3.560
3.560 0.000 3.560
3.560 3.560 0.000
Er Ba
1 1
direct
0.500 0.500 0.500
0.000 0.000 0.000
```

As for the space group: No. 225. The theoretical density is 5.6 g/cm³.

***

The structure with the greatest stability is *1*.

***

*1*
Compound: BaLiErTe3
Source: OQMD via LeMat-Bulk
Functional: PBE
Structure: relaxed

```
BaLiErTe3
1.0
-5.252 4.488 6.210
-3.097 0.796 -3.195
-2.897 -9.536 0.432
Er Ba Te Li
2 2 6 2
direct
0.825 0.750 0.844
0.175 0.250 0.156
0.300 0.750 0.751
0.700 0.250 0.249
0.725 0.750 0.527
0.275 0.250 0.473
0.392 0.750 0.127
0.608 0.250 0.873
0.049 0.250 0.837
0.951 0.750 0.163
0.415 0.750 0.408
0.585 0.250 0.592
```

As for the space group: No. 11. The theoretical density is 5.7 g/cm³.

***

*2*
Compound: BaLiErTe3
Source: OQMD via LeMat-Bulk
Functional: PBE
Structure: relaxed

```
BaLiErTe3
1.0
11.422 0.000 0.000
0.000 4.521 0.000
0.000 0.000 14.942
Er Li Te Ba
4 4 12 4
direct
0.493 0.750 0.748
0.507 0.250 0.252
0.007 0.250 0.248
0.993 0.750 0.752
0.755 0.750 0.279
0.245 0.250 0.721
0.255 0.750 0.221
0.745 0.250 0.779
0.756 0.250 0.177
0.744 0.750 0.677
0.561 0.750 0.387
0.439 0.250 0.613
0.549 0.250 0.885
0.451 0.750 0.115
0.951 0.750 0.385
0.061 0.750 0.113
0.244 0.750 0.823
0.256 0.250 0.323
0.939 0.250 0.887
0.049 0.250 0.615
0.244 0.750 0.501
0.756 0.250 0.499
0.744 0.750 0.999
0.256 0.250 0.001
```

As for the space group: No. 62. The theoretical density is 6.0 g/cm³.

***

*3*
Compound: BaLiErTe3
Source: OQMD via LeMat-Bulk
Functional: PBE
Structure: relaxed

```
BaLiErTe3
1.0
-1.975 4.262 8.693
-1.431 -0.085 9.776
9.413 0.975 -0.814
Te Er Ba Li
6 2 2 2
direct
0.000 0.000 0.500
0.330 0.330 0.636
0.673 0.673 0.803
0.500 0.500 0.000
0.670 0.670 0.364
0.327 0.327 0.197
0.835 0.835 0.417
0.165 0.165 0.583
0.864 0.864 0.933
0.136 0.136 0.067
0.507 0.507 0.699
0.493 0.493 0.301
```

As for the space group: No. 12. The theoretical density is 5.8 g/cm³.

***

The structure with the greatest stability is *2*.

***

*1*
Compound: BaNaErTe3
Source: OQMD via LeMat-Bulk
Functional: PBE
Structure: relaxed

```
BaNaErTe3
1.0
-5.857 -4.423 3.043
5.000 1.010 -6.092
7.786 -6.675 5.284
Na Er Ba Te
2 2 2 6
direct
0.028 0.972 0.250
0.972 0.028 0.750
0.500 0.500 0.000
0.500 0.500 0.500
0.252 0.748 0.750
0.748 0.252 0.250
0.863 0.137 0.543
0.418 0.582 0.250
0.137 0.863 0.043
0.582 0.418 0.750
0.137 0.863 0.457
0.863 0.137 0.957
```

As for the space group: No. 63. The theoretical density is 5.8 g/cm³.

***

*2*
Compound: BaNaErTe3
Source: OQMD via LeMat-Bulk
Functional: PBE
Structure: relaxed

```
BaNaErTe3
1.0
8.834 0.000 0.000
0.000 4.643 0.000
-3.262 0.000 10.128
Er Te Ba Na
2 6 2 2
direct
0.310 0.750 0.848
0.690 0.250 0.152
0.546 0.250 0.855
0.083 0.250 0.868
0.719 0.250 0.457
0.281 0.750 0.543
0.917 0.750 0.132
0.454 0.750 0.145
0.753 0.750 0.727
0.247 0.250 0.273
0.092 0.250 0.591
0.908 0.750 0.409
```

As for the space group: No. 11. The theoretical density is 5.7 g/cm³.

***

The structure with the greatest stability is *2*.

***

*1*
Compound: BaErNb
Source: OQMD via LeMat-Bulk
Functional: PBE
Structure: relaxed

```
BaErNb
1.0
0.000 3.669 3.669
3.669 0.000 3.669
3.669 3.669 0.000
Ba Er Nb
1 1 1
direct
0.000 0.000 0.000
0.250 0.250 0.250
0.750 0.750 0.750
```

As for the space group: No. 216. The theoretical density is 6.7 g/cm³.

***

*2*
Compound: BaErNb
Source: OQMD via LeMat-Bulk
Functional: PBE
Structure: relaxed

```
BaErNb
1.0
-4.446 -2.811 1.082
-4.829 2.269 -0.617
-3.218 -1.580 -3.999
Ba Nb Er
1 1 1
direct
0.250 0.250 0.250
0.000 0.000 0.000
0.750 0.750 0.750
```

As for the space group: No. 216. The theoretical density is 6.0 g/cm³.

***

The structure with the greatest stability is *2*.

***

*1*
Compound: BaEr2O4
Source: OQMD via LeMat-Bulk
Functional: PBE
Structure: relaxed

```
BaEr2O4
1.0
10.328 0.000 0.000
0.000 3.420 0.000
0.000 0.000 12.007
O Er Ba
16 8 4
direct
0.885 0.750 0.517
0.519 0.250 0.782
0.615 0.250 0.017
0.385 0.750 0.983
0.291 0.750 0.658
0.430 0.250 0.426
0.930 0.250 0.074
0.709 0.250 0.342
0.481 0.750 0.218
0.070 0.750 0.926
0.570 0.750 0.574
0.019 0.250 0.718
0.981 0.750 0.282
0.115 0.250 0.483
0.209 0.250 0.158
0.791 0.750 0.842
0.926 0.250 0.889
0.426 0.250 0.611
0.922 0.250 0.391
0.422 0.250 0.109
0.078 0.750 0.609
0.574 0.750 0.389
0.074 0.750 0.111
0.578 0.750 0.891
0.253 0.250 0.850
0.747 0.750 0.150
0.247 0.750 0.350
0.753 0.250 0.650
```

As for the space group: No. 62. The theoretical density is 8.4 g/cm³.

***

*2*
Compound: BaEr2O4
Source: OQMD via LeMat-Bulk
Functional: PBE
Structure: relaxed

```
BaEr2O4
1.0
-6.111 -2.798 1.891
1.992 -0.163 -6.690
3.279 -3.971 4.716
O Ba Er
8 2 4
direct
0.146 0.707 0.854
0.146 0.293 0.439
0.604 0.207 0.811
0.604 0.793 0.396
0.189 0.793 0.396
0.146 0.293 0.854
0.604 0.207 0.396
0.561 0.707 0.854
0.750 0.500 0.250
0.000 0.000 0.000
0.375 0.250 0.625
0.375 0.750 0.625
0.875 0.250 0.625
0.375 0.750 0.125
```

As for the space group: No. 227. The theoretical density is 7.4 g/cm³.

***

The structure with the greatest stability is *1*.